! Nb2FeIr, optimized geometry, DFT PBE; values from VASP
&SYSTEM
  ibrav = 0, nat = 4, ntyp = 3
/
ATOMIC_SPECIES
Nb 92.91 Nb.upf
Ir 192.22 Ir.upf
Fe 55.84 Fe.upf
CELL_PARAMETERS angstrom
0.000 3.139 3.139
3.139 0.000 3.139
3.139 3.139 0.000
ATOMIC_POSITIONS angstrom
Nb 0.000 0.000 0.000
Nb 4.709 4.709 4.709
Ir 1.570 1.570 1.570
Fe 3.139 3.139 3.139
! **ΔE_f**: -0.136 eV per atom
! **Total DFT energy (no corrections)**: -37.89 eV/cell
! **Space group**: F-43m, No. 216



! TbGdH2, optimized geometry, DFT PBE; values from VASP
&SYSTEM
  ibrav = 0, nat = 8, ntyp = 3
/
ATOMIC_SPECIES
H 1.01 H.upf
Gd 157.25 Gd.upf
Tb 158.93 Tb.upf
CELL_PARAMETERS angstrom
4.343 9.796 5.028
6.251 7.343 6.862
7.405 8.486 3.640
ATOMIC_POSITIONS angstrom
H 14.611 20.801 12.606
H 3.389 4.824 2.924
H 10.428 14.845 8.997
H 7.572 10.780 6.533
Gd 2.220 3.161 1.915
Gd 15.779 22.464 13.614
Tb 12.731 18.124 10.984
Tb 5.269 7.501 4.546
! **Total DFT energy (no corrections)**: -35.24 eV/cell
! **Space group**: R-3m, No. 166



! Si2AgHg, optimized geometry, DFT PBE; values from VASP
&SYSTEM
  ibrav = 0, nat = 4, ntyp = 3
/
ATOMIC_SPECIES
Si 28.09 Si.upf
Ag 107.87 Ag.upf
Hg 200.59 Hg.upf
CELL_PARAMETERS angstrom
4.720 0.195 0.188
2.208 -0.143 4.179
2.477 -3.833 1.235
ATOMIC_POSITIONS angstrom
Si 4.703 -1.891 2.800
Si 2.351 -0.946 1.400
Ag 7.054 -2.837 4.201
Hg 0.000 0.000 0.000
! **Total DFT energy (no corrections)**: -11.72 eV/cell
! **Space group**: F-43m, No. 216